Compound: CaP4Rh
Source: Alexandria via LeMat-Bulk
Functional: PBE
Structure: relaxed

```
12
Lattice="6.909 0.000 0.000 0.000 3.661 0.000 0.000 0.000 8.017" Properties=species:S:1:pos:R:3 pbc="T T T"
Ca 1.727 0.000 1.501
Ca 5.182 0.000 6.516
P 0.000 0.000 4.008
P 0.307 1.830 6.979
P 1.727 1.830 4.201
P 3.148 1.830 6.979
P 3.455 0.000 4.008
P 3.761 1.830 1.037
P 5.182 1.830 3.815
P 6.602 1.830 1.037
Rh 1.727 0.000 6.179
Rh 5.182 0.000 1.838
```

Results
Offset from the most stable computed form ... 0.0 meV/atom
Crystal system ... orthorhombic
E ... -5.53 eV per atom
Space-group type ... Pmma (51)



Compound: CaPRh2
Source: Alexandria via LeMat-Bulk
Functional: PBE
Structure: relaxed

```
8
Lattice="4.206 0.000 0.000 0.000 4.206 0.000 0.000 0.000 7.031" Properties=species:S:1:pos:R:3 pbc="T T T"
Ca 0.000 0.000 0.000
Ca 2.103 2.103 3.516
P 0.000 0.000 3.516
P 2.103 2.103 0.000
Rh 0.000 2.103 1.758
Rh 0.000 2.103 5.273
Rh 2.103 0.000 1.758
Rh 2.103 0.000 5.273
```

Results
Crystal system ... tetragonal
E ... -5.85 eV per atom
Space-group type ... I4/mmm (139)



Compound: CaPRh3
Source: Alexandria via LeMat-Bulk
Functional: PBE
Structure: relaxed

```
5
Lattice="4.451 0.000 0.000 0.000 4.451 0.000 0.000 0.000 4.451" Properties=species:S:1:pos:R:3 pbc="T T T"
Ca 0.000 0.000 0.000
P 2.226 2.226 2.226
Rh 0.000 2.226 2.226
Rh 2.226 0.000 2.226
Rh 2.226 2.226 0.000
```

Results
Offset from the most stable computed form ... 0.0 meV/atom
Crystal system ... cubic
E ... -6.47 eV per atom
Space-group type ... Pm-3m (221)



Compound: Ca2P2Rh5
Source: Alexandria via LeMat-Bulk
Functional: PBE
Structure: relaxed

```
9
Lattice="4.111 0.000 0.000 0.000 4.111 0.000 0.000 0.000 8.726" Properties=species:S:1:pos:R:3 pbc="T T T"
Ca 0.000 0.000 0.000
Ca 0.000 0.000 4.363
P 2.055 2.055 1.246
P 2.055 2.055 7.480
Rh 0.000 2.055 2.272
Rh 0.000 2.055 6.454
Rh 2.055 0.000 2.272
Rh 2.055 0.000 6.454
Rh 2.055 2.055 4.363
```

Results
Crystal system ... tetragonal
E ... -6.43 eV per atom
Space-group type ... P4/mmm (123)



Compound: Ca3P2Rh3
Source: Alexandria via LeMat-Bulk
Functional: PBE
Structure: relaxed

```
32
Lattice="7.601 0.000 0.000 0.000 14.583 0.000 0.000 0.000 5.547" Properties=species:S:1:pos:R:3 pbc="T T T"
Ca 0.162 1.592 0.679
Ca 0.162 5.699 0.679
Ca 1.297 3.646 3.282
Ca 2.504 10.937 0.508
Ca 3.639 8.883 3.452
Ca 3.639 12.990 3.452
Ca 3.963 1.592 2.095
Ca 3.963 5.699 2.095
Ca 5.097 3.646 5.039
Ca 6.304 10.937 2.265
Ca 7.439 8.883 4.868
Ca 7.439 12.990 4.868
P 1.018 8.753 2.121
P 1.018 13.120 2.121
P 2.782 1.462 4.895
P 2.782 5.829 4.895
P 4.819 8.753 0.652
P 4.819 13.120 0.652
P 6.583 1.462 3.426
P 6.583 5.829 3.426
Rh 1.170 0.554 3.392
Rh 1.170 6.737 3.392
Rh 1.346 10.937 3.055
Rh 2.455 3.646 0.281
Rh 2.630 7.845 0.618
Rh 2.630 14.028 0.618
Rh 4.971 0.554 4.929
Rh 4.971 6.737 4.929
Rh 5.147 10.937 5.266
Rh 6.255 3.646 2.492
Rh 6.431 7.845 2.155
Rh 6.431 14.028 2.155
```

Results
Crystal system ... orthorhombic
E ... -5.77 eV per atom
Space-group type ... Pnma (62)



Compound: Ca4PRh6
Source: Alexandria via LeMat-Bulk
Functional: PBE
Structure: relaxed

```
11
Lattice="3.751 0.000 0.000 0.000 3.052 9.645 0.000 -3.052 9.645" Properties=species:S:1:pos:R:3 pbc="T T T"
Ca 0.000 0.000 0.000
Ca 0.000 -1.551 13.692
Ca 0.000 1.551 13.692
Ca 1.875 0.000 8.786
P 1.875 0.000 16.553
Rh 0.000 -1.694 6.895
Rh 0.000 0.000 11.165
Rh 0.000 1.694 6.895
Rh 1.875 0.000 5.845
Rh 1.875 -1.760 11.495
Rh 1.875 1.760 11.495
```

Results
Crystal system ... orthorhombic
E ... -5.54 eV per atom
Space-group type ... Amm2 (38)



Compound: CaPRh2
Source: Alexandria via LeMat-Bulk
Functional: PBE
Structure: relaxed

```
4
Lattice="4.018 0.000 0.000 0.000 4.018 0.000 0.000 0.000 4.762" Properties=species:S:1:pos:R:3 pbc="T T T"
Ca 0.000 0.000 0.000
P 2.009 2.009 1.373
Rh 0.000 2.009 2.422
Rh 2.009 0.000 2.422
```

Results
Crystal system ... tetragonal
E ... -6.21 eV per atom
Space-group type ... P4mm (99)



Compound: Ca6P19Rh30
Source: Alexandria via LeMat-Bulk
Functional: PBE
Structure: relaxed

```
55
Lattice="15.648 0.000 0.000 -7.824 13.552 0.000 0.000 0.000 3.823" Properties=species:S:1:pos:R:3 pbc="T T T"
Ca -1.568 3.701 0.000
Ca -3.835 13.059 0.000
Ca 3.835 5.009 1.909
Ca 9.393 0.817 1.909
Ca 5.403 10.343 0.000
Ca 10.245 7.726 1.909
P -0.674 1.600 1.906
P -3.108 7.453 3.808
P -6.101 13.336 1.906
P -0.184 5.554 1.922
P -2.922 10.935 1.922
P 2.422 3.173 3.818
P 0.000 9.035 0.949
P 5.401 1.344 1.914
P 2.924 7.134 3.808
P 0.184 12.517 3.808
P 6.101 4.731 0.003
P 3.106 10.615 1.922
P 8.501 2.918 0.003
P 6.288 8.202 1.914
P 11.689 0.510 3.818
P 8.871 5.903 0.003
P 6.775 12.167 1.906
P 11.784 4.005 1.914
P 9.362 9.868 3.818
Rh -2.533 5.932 1.923
Rh -5.285 11.142 1.900
Rh -3.952 9.675 3.807
Rh 0.976 1.289 3.813
Rh 0.817 3.404 1.900
Rh -2.145 8.726 1.898
Rh -0.806 7.021 0.009
Rh 3.054 1.728 1.908
Rh 1.421 5.292 3.807
Rh -1.340 10.739 0.009
Rh 1.340 7.332 1.898
Rh -1.420 12.779 1.923
Rh 4.767 2.786 0.001
Rh 0.805 11.046 1.898
Rh 2.147 9.343 0.009
Rh 7.008 1.117 0.008
Rh 6.843 3.232 1.918
Rh 3.953 8.392 1.923
Rh 5.287 6.925 0.008
Rh 2.531 12.137 3.807
Rh 7.202 6.009 1.918
Rh 4.468 12.558 1.900
Rh 9.427 4.310 1.918
Rh 10.852 2.735 0.001
Rh 7.854 8.030 0.001
Rh 7.794 10.042 1.908
Rh 12.624 1.781 1.908
Rh 14.044 0.201 3.813
Rh 11.177 5.511 0.008
Rh 8.452 12.062 3.813
```

Results
Crystal system ... trigonal
E ... -6.98 eV per atom
Space-group type ... P3 (143)